Entry 1:
8
Lattice="-1.148 -5.220 -3.421 6.097 -0.194 -1.750 -1.139 -0.896 7.635" Properties=species:S:1:pos:R:3 comment="Pm4Sb3Te, relaxed, DFT PBE-GGA" formation_energy_uncorrected_ev_per_atom=-1.28 relative_energy_ev_per_fu=0.00 pbc="T T T"
Pm 3.133 -4.484 -0.095
Pm 4.384 -3.700 4.175
Pm 0.677 -1.826 2.559
Sb 3.716 -1.898 1.650
Te 0.000 0.000 0.000
Sb 2.474 -2.707 -2.586
Pm 0.761 -6.213 3.339
Sb 0.094 -4.412 0.814

=====

Entry 2:
4
Lattice="5.640 0.000 0.000 2.820 4.885 0.000 2.820 1.628 4.605" Properties=species:S:1:pos:R:3 comment="LaPrHoTl, relaxed, DFT PBE-GGA" e_form_mev_per_atom=-86 relative_energy_ev_per_fu=0.00 pbc="T T T"
La 0.000 0.000 0.000
Pr 5.640 3.257 2.303
Tl 8.461 4.885 3.454
Ho 2.820 1.628 1.151

=====

Entry 3:
4
Lattice="4.689 0.000 0.000 0.000 4.067 0.000 0.000 0.000 4.067" Properties=species:S:1:pos:R:3 comment="SrAgRu2, relaxed, DFT PBE-GGA" e_form_mev_per_atom=741 relative_energy_ev_per_fu=1.95 pbc="T T T"
Ru 0.000 2.033 2.033
Ag 2.344 0.000 2.033
Ru 0.000 0.000 0.000
Sr 2.344 2.033 0.000

=====

Entry 4:
8
Lattice="-0.592 3.653 5.849 -2.086 -5.690 3.343 0.616 -1.458 5.068" Properties=species:S:1:pos:R:3 comment="BeBOs2, relaxed, DFT PBE-GGA" e_form_mev_per_atom=264 relative_energy_ev_per_fu=0.62 pbc="T T T"
Os -0.538 1.584 5.942
B 0.000 0.000 0.000
Be -1.339 -1.018 4.596
Os -2.096 -3.461 12.188
Be -1.405 -4.083 6.503
B -0.657 0.588 7.756
Os -1.163 -3.840 3.485
Os -0.327 -1.271 6.904

=====

Entry 5:
4
Lattice="-3.379 1.918 -4.991 -6.313 -0.362 0.127 -3.464 5.279 0.366" Properties=species:S:1:pos:R:3 comment="CsRbCdCl, relaxed, DFT PBE-GGA" formation_energy_uncorrected_ev_per_atom=-0.71 pbc="T T T"
Cd 0.000 0.000 0.000
Rb -3.289 1.709 -1.124
Cs -9.867 5.127 -3.373
Cl -6.578 3.418 -2.249

=====

Entry 6:
12
Lattice="5.903 0.276 0.000 -2.370 5.413 0.000 -1.766 -2.845 4.869" Properties=species:S:1:pos:R:3 comment="ErUGa2O8, relaxed, DFT PBE-GGA" formation_energy_uncorrected_ev_per_atom=-2.39 pbc="T T T"
O 0.137 -1.587 3.916
O 0.283 2.263 0.953
Ga 1.766 2.845 0.000
Er 0.000 0.000 0.000
O 1.489 -0.547 1.553
Ga 2.951 0.138 2.435
O -0.137 1.587 3.916
O 2.986 -1.477 3.316
O 2.917 1.753 3.316
O 3.250 3.426 0.953
U -1.185 2.707 2.435
O 4.414 0.824 1.553

=====

Entry 7:
4
Lattice="-4.149 2.498 0.322 -2.442 -3.878 -1.601 -0.425 -1.147 3.427" Properties=species:S:1:pos:R:3 comment="MgOsPb2, relaxed, DFT PBE-GGA" e_form_mev_per_atom=670 pbc="T T T"
Pb -3.295 -0.690 -0.639
Os -1.433 -2.513 0.913
Mg -2.287 0.675 1.875
Pb 0.000 0.000 0.000

=====

Entry 8:
8
Lattice="4.964 0.000 0.000 2.482 4.299 0.000 2.482 1.433 8.103" Properties=species:S:1:pos:R:3 comment="Tm4CdCuPd2, relaxed, DFT PBE-GGA" e_form_mev_per_atom=-602 pbc="T T T"
Pd 7.446 4.299 6.153
Tm 2.482 1.433 4.953
Tm 4.964 2.866 1.141
Tm 7.446 4.299 3.150
Cd 0.000 0.000 0.000
Cu 4.964 2.866 4.052
Pd 2.482 1.433 1.950
Tm 4.964 2.866 6.963

=====

Entry 9:
5
Lattice="5.321 0.000 0.000 0.000 5.321 0.000 0.000 0.000 5.321" Properties=species:S:1:pos:R:3 comment="MgCd3Pb, relaxed, DFT PBE-GGA" e_form_mev_per_atom=383 relative_energy_ev_per_fu=1.92 pbc="T T T"
Mg 0.000 0.000 0.000
Cd 0.000 0.000 2.661
Pb 2.661 2.661 2.661
Cd 0.000 2.661 0.000
Cd 2.661 0.000 0.000

=====

Entry 10:
10
Lattice="-5.037 0.934 2.986 -0.968 -2.875 -0.733 7.599 -4.099 6.048" Properties=species:S:1:pos:R:3 comment="AsPRhAu2, relaxed, DFT PBE-GGA" e_form_mev_per_atom=-55 relative_energy_ev_per_fu=0.36 pbc="T T T"
As 3.514 -2.823 6.435
As -0.769 -2.211 3.044
Au -2.419 -1.225 1.354
Rh 1.264 -0.983 2.186
P -4.012 -1.149 3.157
Au 1.865 -1.837 4.744
P 0.271 -1.760 6.547
Au 3.043 -3.353 2.491
Rh 4.580 -4.470 4.843
Au 7.326 -3.965 5.881

=====

Entry 11:
8
Lattice="10.914 0.000 0.000 0.000 10.914 0.000 5.457 5.457 3.055" Properties=species:S:1:pos:R:3 comment="Sr2YSb, relaxed, DFT PBE-GGA" formation_energy_uncorrected_ev_per_atom=-0.17 pbc="T T T"
Sr 13.642 14.789 2.291
Y 5.457 10.914 1.527
Sr 8.185 7.038 2.291
Sr 1.581 8.185 0.764
Sb 10.914 5.457 1.527
Y 5.457 5.457 0.000
Sr 9.333 2.728 0.764
Sb 0.000 0.000 0.000

=====

Entry 12:
14
Lattice="-0.324 -0.852 3.279 5.410 -9.607 -1.960 9.747 5.025 2.270" Properties=species:S:1:pos:R:3 comment="Tl4In2Hg, relaxed, DFT PBE-GGA" e_form_mev_per_atom=54 relative_energy_ev_per_fu=0.10 pbc="T T T"
Tl 12.686 -1.972 0.743
In 9.895 -3.466 1.845
In 9.037 2.632 1.578
Tl 11.673 -5.392 -0.246
Tl 2.470 -2.610 -0.433
Tl 6.497 0.693 2.589
Tl 10.039 -0.378 2.661
Tl 4.793 -5.055 0.927
Tl 3.484 0.810 0.555
Hg 7.578 -2.291 0.155
In 4.937 -1.967 1.744
Tl 8.335 -6.126 1.000
Hg -0.162 -0.426 1.640
In 6.119 -7.214 -1.268